{"formula": "Rb2Pa3S8Br", "functional": "PBE", "state": "relaxed", "cell": [[4.051, 2.339, 8.500], [-4.051, 2.339, 8.500], [0.000, -4.677, 8.500]], "species": ["Rb", "Rb", "Pa", "Pa", "Pa", "S", "S", "S", "S", "S", "S", "S", "S", "Br"], "frac_coords": [[0.000, 0.000, 0.000], [0.362, 0.362, 0.362], [0.363, 0.363, 0.857], [0.363, 0.857, 0.363], [0.857, 0.363, 0.363], [0.098, 0.098, 0.549], [0.098, 0.549, 0.098], [0.138, 0.138, 0.138], [0.171, 0.627, 0.627], [0.549, 0.098, 0.098], [0.581, 0.581, 0.581], [0.627, 0.171, 0.627], [0.627, 0.627, 0.171], [0.702, 0.702, 0.702]], "e_form_raw_kj_per_mol_atoms": -140.5, "energy_ev_per_cell": -85.50}